Entry a
This record from Alexandria via LeMat-Bulk describes a geometry-optimized NaCd2O2 structure. The functional is GGA-PBE.

Cell: 7.203 7.203 3.077 Å, 90.00 90.00 90.00°
Atoms (fractional coordinates):
Na  0.000  0.000  0.000
Na  0.500  0.500  0.000
O  0.206  0.706  0.500
O  0.706  0.794  0.500
O  0.794  0.294  0.500
O  0.294  0.206  0.500
Cd  0.368  0.868  0.000
Cd  0.868  0.632  0.000
Cd  0.632  0.132  0.000
Cd  0.132  0.368  0.000

V	159.7	Å³ per cell

Entry b
This record from Alexandria via LeMat-Bulk describes a geometry-optimized NaCd2O2 structure. The functional is GGA-PBE.

Cell: 5.930 5.930 6.486 Å, 116.25 116.25 91.74°
Atoms (fractional coordinates):
Na  0.875  0.625  0.750
Na  0.125  0.375  0.250
Cd  0.223  0.973  0.447
Cd  0.473  0.723  0.947
Cd  0.777  0.027  0.553
Cd  0.527  0.277  0.053
O  0.159  0.341  0.750
O  0.409  0.091  0.250
O  0.591  0.909  0.750
O  0.841  0.659  0.250

V	176.1	Å³ per cell

Stability ranking, top and bottom: entry b is the most stable and entry a is the least stable.

Entry a
This record from Alexandria via LeMat-Bulk describes a geometry-optimized NaCdPO2 structure. The functional is GGA-PBE.

Cell: 4.376 4.376 5.114 Å, 90.00 90.00 90.00°
Each line ends with the local moment (μB).
Atoms (fractional coordinates):
P  0.000  0.000  0.500  0.75
Na  0.500  0.500  0.500  0.01
O  0.000  0.500  0.000  0.67
O  0.500  0.000  0.000  0.67
Cd  0.000  0.000  0.000  0.06

V	97.9	Å³ per cell

Entry b
This record from Alexandria via LeMat-Bulk describes a geometry-optimized NaCdPO2 structure. The functional is GGA-PBE.

Cell: 4.157 4.157 5.331 Å, 90.00 90.00 90.00°
Each line ends with the local moment (μB).
Atoms (fractional coordinates):
P  0.000  0.000  0.500  0.52
Na  0.000  0.000  0.000  0.00
O  0.000  0.500  0.000  1.04
O  0.500  0.000  0.000  1.04
Cd  0.500  0.500  0.500  0.01

V	92.1	Å³ per cell

Stability ranking, top and bottom: entry a is the most stable and entry b is the least stable.

Entry a
This record from Alexandria via LeMat-Bulk describes a geometry-optimized NaCdP2O structure. The functional is GGA-PBE.

Cell: 5.036 5.036 3.940 Å, 90.00 90.00 90.00°
Atoms (fractional coordinates):
P  0.000  0.500  0.000
P  0.500  0.000  0.000
Na  0.000  0.000  0.000
O  0.000  0.000  0.500
Cd  0.500  0.500  0.500

V	99.9	Å³ per cell

Entry b
This record from Alexandria via LeMat-Bulk describes a geometry-optimized NaCdP2O structure. The functional is GGA-PBE.

Cell: 5.102 5.102 4.288 Å, 90.00 90.00 90.00°
Each line ends with the local moment (μB).
Atoms (fractional coordinates):
P  0.000  0.500  0.000  0.33
P  0.500  0.000  0.000  0.33
Na  0.500  0.500  0.500  0.00
O  0.000  0.000  0.500  0.42
Cd  0.000  0.000  0.000  0.00

V	111.6	Å³ per cell

Stability ranking, top and bottom: entry b is the most stable and entry a is the least stable.

Entry a
This record from Alexandria via LeMat-Bulk describes a geometry-optimized NaCdSe2O structure. The functional is GGA-PBE.

Cell: 5.040 5.604 5.040 Å, 90.00 90.00 90.00°
Each line ends with the local moment (μB).
Atoms (fractional coordinates):
Na  0.000  0.000  0.000  0.00
O  0.500  0.500  0.500  0.28
Se  0.000  0.000  0.500  -0.01
Se  0.500  0.000  0.000  0.01
Cd  0.000  0.500  0.000  0.00

V	142.3	Å³ per cell

Entry b
This record from Alexandria via LeMat-Bulk describes a geometry-optimized NaCdSe2O structure. The functional is GGA-PBE.

Cell: 4.736 4.240 4.736 Å, 90.00 90.00 90.00°
Atoms (fractional coordinates):
Na  0.000  0.500  0.000
O  0.000  0.000  0.000
Se  0.000  0.000  0.500
Se  0.500  0.000  0.000
Cd  0.500  0.500  0.500

V	95.1	Å³ per cell

Stability ranking, top and bottom: entry b is the most stable and entry a is the least stable.

Entry a
This record from Alexandria via LeMat-Bulk describes a geometry-optimized NaCd2Os2 structure. The functional is GGA-PBE.

Cell: 8.406 8.406 2.807 Å, 90.00 90.00 90.00°
Each line ends with the local moment (μB).
Atoms (fractional coordinates):
Na  0.000  0.000  0.000  0.00
Na  0.500  0.500  0.000  0.00
Os  0.401  0.901  0.000  0.27
Os  0.901  0.599  0.000  0.27
Os  0.599  0.099  0.000  0.27
Os  0.099  0.401  0.000  0.27
Cd  0.192  0.692  0.500  0.00
Cd  0.692  0.808  0.500  0.00
Cd  0.808  0.308  0.500  0.00
Cd  0.308  0.192  0.500  0.00

V	198.4	Å³ per cell

Entry b
This record from Alexandria via LeMat-Bulk describes a geometry-optimized NaCd2Os2 structure. The functional is GGA-PBE.

Cell: 8.445 8.445 2.787 Å, 90.00 90.00 90.00°
Each line ends with the local moment (μB).
Atoms (fractional coordinates):
Na  0.000  0.000  0.000  0.00
Na  0.500  0.500  0.000  0.00
Os  0.099  0.599  0.500  0.20
Os  0.599  0.901  0.500  0.20
Os  0.901  0.401  0.500  0.20
Os  0.401  0.099  0.500  0.20
Cd  0.309  0.809  0.000  0.00
Cd  0.809  0.691  0.000  0.00
Cd  0.691  0.191  0.000  0.00
Cd  0.191  0.309  0.000  0.00

V	198.7	Å³ per cell

Stability ranking, top and bottom: entry a is the most stable and entry b is the least stable.

Entry a
This record from Alexandria via LeMat-Bulk describes a geometry-optimized NaCd2Os2 structure. The functional is GGA-PBE.

Cell: 4.992 4.992 5.710 Å, 64.08 64.08 90.00°
Atoms (fractional coordinates):
Na  0.000  0.000  0.000
Os  0.375  0.375  0.250
Os  0.625  0.625  0.750
Cd  0.750  0.250  0.500
Cd  0.250  0.750  0.500

V	111.9	Å³ per cell

Entry b
This record from Alexandria via LeMat-Bulk describes a geometry-optimized NaCd2Os2 structure. The functional is GGA-PBE.

Cell: 3.676 3.676 7.803 Å, 76.38 76.38 90.00°
Atoms (fractional coordinates):
Na  0.000  0.000  0.000
Os  0.750  0.250  0.500
Os  0.250  0.750  0.500
Cd  0.399  0.399  0.201
Cd  0.601  0.601  0.799

V	99.4	Å³ per cell

Stability ranking, top and bottom: entry b is the most stable and entry a is the least stable.

Entry a
This record from Alexandria via LeMat-Bulk describes a geometry-optimized Na3CdP2 structure. The functional is GGA-PBE.

Cell: 6.207 6.100 8.545 Å, 110.91 111.30 90.00°
Atoms (fractional coordinates):
Na  0.423  0.684  0.369
Na  0.577  0.316  0.631
Na  0.054  0.816  0.631
Na  0.946  0.184  0.369
Na  0.500  0.750  0.000
Na  0.500  0.250  0.000
Cd  0.000  0.250  0.000
Cd  0.000  0.750  0.000
P  0.342  0.118  0.235
P  0.658  0.882  0.765
P  0.107  0.382  0.765
P  0.893  0.618  0.235

V	278.5	Å³ per cell

Entry b
This record from Alexandria via LeMat-Bulk describes a geometry-optimized Na3CdP2 structure. The functional is GGA-PBE.

Cell: 6.730 7.099 8.252 Å, 115.48 114.07 90.00°
Each line ends with the local moment (μB).
Atoms (fractional coordinates):
Na  0.500  0.250  0.000  0.00
Na  0.500  0.750  0.000  0.00
Na  0.759  0.009  0.519  0.00
Na  0.241  0.491  0.481  0.00
Na  0.241  0.991  0.481  0.00
Na  0.759  0.509  0.519  0.00
Cd  0.000  0.500  0.000  0.01
Cd  0.000  0.000  0.000  0.01
P  0.611  0.372  0.744  0.21
P  0.867  0.128  0.256  0.21
P  0.133  0.872  0.744  0.21
P  0.389  0.628  0.256  0.21

V	317.5	Å³ per cell

Stability ranking, top and bottom: entry a is the most stable and entry b is the least stable.

Entry a
This record from Alexandria via LeMat-Bulk describes a geometry-optimized Na2CdP2 structure. The functional is GGA-PBE.

Cell: 4.418 4.418 6.548 Å, 70.29 70.29 90.00°
Atoms (fractional coordinates):
P  0.408  0.408  0.184
P  0.592  0.592  0.816
Na  0.750  0.250  0.500
Na  0.250  0.750  0.500
Cd  0.000  0.000  0.000

V	112.3	Å³ per cell

Entry b
This record from Alexandria via LeMat-Bulk describes a geometry-optimized Na2CdP2 structure. The functional is GGA-PBE.

Cell: 6.774 6.774 4.650 Å, 90.00 90.00 90.00°
Atoms (fractional coordinates):
P  0.383  0.883  0.000
P  0.883  0.617  0.000
P  0.617  0.117  0.000
P  0.117  0.383  0.000
Na  0.174  0.674  0.500
Na  0.674  0.826  0.500
Na  0.826  0.326  0.500
Na  0.326  0.174  0.500
Cd  0.000  0.000  0.000
Cd  0.500  0.500  0.000

V	213.4	Å³ per cell

Stability ranking, top and bottom: entry b is the most stable and entry a is the least stable.

Entry a
This record from Alexandria via LeMat-Bulk describes a geometry-optimized NaCdPS2 structure. The functional is GGA-PBE.

Cell: 5.149 5.149 4.994 Å, 90.00 90.00 90.00°
Each line ends with the local moment (μB).
Atoms (fractional coordinates):
P  0.000  0.000  0.500  0.51
S  0.000  0.500  0.000  0.07
S  0.500  0.000  0.000  0.07
Na  0.500  0.500  0.500  0.00
Cd  0.000  0.000  0.000  0.01

V	132.4	Å³ per cell

Entry b
This record from Alexandria via LeMat-Bulk describes a geometry-optimized NaCdPS2 structure. The functional is GGA-PBE.

Cell: 4.921 4.921 4.856 Å, 90.00 90.00 90.00°
Atoms (fractional coordinates):
P  0.000  0.000  0.500
S  0.000  0.500  0.000
S  0.500  0.000  0.000
Na  0.000  0.000  0.000
Cd  0.500  0.500  0.500

V	117.6	Å³ per cell

Stability ranking, top and bottom: entry a is the most stable and entry b is the least stable.

Entry a
This record from Alexandria via LeMat-Bulk describes a geometry-optimized NaCdSi2P structure. The functional is GGA-PBE.

Cell: 4.974 5.044 4.974 Å, 90.00 90.00 90.00°
Atoms (fractional coordinates):
P  0.500  0.500  0.500
Si  0.000  0.000  0.500
Si  0.500  0.000  0.000
Na  0.000  0.000  0.000
Cd  0.000  0.500  0.000

V	124.8	Å³ per cell

Entry b
This record from Alexandria via LeMat-Bulk describes a geometry-optimized NaCdSi2P structure. The functional is GGA-PBE.

Cell: 5.106 5.152 5.106 Å, 90.00 90.00 90.00°
Atoms (fractional coordinates):
P  0.000  0.500  0.000
Si  0.000  0.000  0.500
Si  0.500  0.000  0.000
Na  0.500  0.500  0.500
Cd  0.000  0.000  0.000

V	134.3	Å³ per cell

Stability ranking, top and bottom: entry b is the most stable and entry a is the least stable.

Entry a
This record from Alexandria via LeMat-Bulk describes a geometry-optimized NaPaCd2 structure. The functional is GGA-PBE.

Cell: 3.113 3.113 12.316 Å, 82.74 82.74 60.00°
Each line ends with the local moment (μB).
Atoms (fractional coordinates):
Na  0.500  0.500  0.500  0.00
Pa  0.000  0.000  0.000  0.43
Cd  0.090  0.090  0.731  0.00
Cd  0.910  0.910  0.269  0.00

V	102.3	Å³ per cell

Entry b
This record from Alexandria via LeMat-Bulk describes a geometry-optimized NaPaCd2 structure. The functional is GGA-PBE.

Cell: 3.134 3.134 9.923 Å, 90.00 90.00 90.00°
Each line ends with the local moment (μB).
Atoms (fractional coordinates):
Na  0.500  0.500  0.500  0.00
Pa  0.500  0.500  0.000  0.82
Cd  0.000  0.000  0.750  0.01
Cd  0.000  0.000  0.250  0.01

V	97.5	Å³ per cell

Entry c
This record from Alexandria via LeMat-Bulk describes a geometry-optimized NaPaCd2 structure. The functional is GGA-PBE.

Cell: 3.034 5.786 5.786 Å, 90.00 90.00 90.00°
Each line ends with the local moment (μB).
Atoms (fractional coordinates):
Na  0.500  0.000  0.000  0.00
Pa  0.500  0.500  0.500  0.88
Cd  0.000  0.000  0.500  0.01
Cd  0.000  0.500  0.000  0.01

V	101.6	Å³ per cell

Stability ranking, top and bottom: entry b is the most stable and entry a is the least stable.

Entry a
This record from Alexandria via LeMat-Bulk describes a geometry-optimized Na6Cd3Pb structure. The functional is GGA-PBE.

Cell: 3.349 12.634 13.624 Å, 101.09 90.00 90.00°
Atoms (fractional coordinates):
Na  0.750  0.504  0.687
Na  0.250  0.496  0.313
Na  0.750  0.819  0.085
Na  0.250  0.181  0.915
Na  0.750  0.344  0.108
Na  0.250  0.656  0.892
Na  0.750  0.731  0.291
Na  0.250  0.269  0.709
Na  0.750  0.127  0.483
Na  0.250  0.873  0.517
Na  0.750  0.785  0.718
Na  0.250  0.215  0.282
Cd  0.750  0.429  0.906
Cd  0.250  0.571  0.094
Cd  0.750  0.621  0.503
Cd  0.250  0.379  0.497
Cd  0.750  0.072  0.088
Cd  0.250  0.928  0.912
Pb  0.750  0.036  0.715
Pb  0.250  0.964  0.285

V	565.7	Å³ per cell

Entry b
This record from Alexandria via LeMat-Bulk describes a geometry-optimized Na6Cd3Pb structure. The functional is GGA-PBE.

Cell: 7.883 9.337 9.337 Å, 121.83 90.00 90.00°
Atoms (fractional coordinates):
Na  0.146  0.721  0.648
Na  0.646  0.648  0.721
Na  0.328  0.512  0.877
Na  0.828  0.877  0.512
Na  0.301  0.962  0.038
Na  0.698  0.263  0.737
Na  0.198  0.737  0.263
Na  0.801  0.038  0.962
Na  0.328  0.123  0.488
Na  0.828  0.488  0.123
Na  0.146  0.352  0.279
Na  0.646  0.279  0.352
Cd  0.464  0.958  0.703
Cd  0.964  0.703  0.958
Cd  0.997  0.380  0.620
Cd  0.497  0.620  0.380
Cd  0.964  0.042  0.297
Cd  0.464  0.297  0.042
Pb  0.113  0.175  0.825
Pb  0.613  0.825  0.175

V	584.0	Å³ per cell

Stability ranking, top and bottom: entry b is the most stable and entry a is the least stable.